No. 1
NiRhCN2 after structural relaxation, computed with PBE.

Cell and atoms, written as POSCAR:
```
NiRhCN2
1.0
-0.049 -1.282 3.359
3.576 -0.402 -0.101
0.411 3.335 1.279
C N Rh Ni
1 2 1 1
direct
0.000 0.000 0.000
0.500 0.000 0.000
0.000 0.000 0.500
0.500 0.500 0.500
0.000 0.500 0.000
```

Results
SG: No. 123
Formation energy without anion corrections: 1972 meV per atom
Energy: -29.15 eV per cell


No. 2
Ca3Cd8In3 after structural relaxation, computed with PBE.

Cell and atoms, written as POSCAR:
```
Ca3Cd8In3
1.0
4.676 0.000 0.000
2.338 8.918 -0.172
2.338 2.262 8.628
Cd In Ca
8 3 3
direct
0.844 0.783 0.529
0.156 0.471 0.217
0.844 0.529 0.783
0.352 0.365 0.931
0.648 0.635 0.069
0.648 0.069 0.635
0.352 0.931 0.365
0.156 0.217 0.471
0.000 0.805 0.195
0.000 0.195 0.805
0.500 0.000 0.000
0.198 0.802 0.802
0.802 0.198 0.198
0.500 0.500 0.500
```

Results
SG: No. 71
Energy: -24.95 eV per cell
Formation enthalpy at 0 K: -244 meV per atom


No. 3
Ce6PbO12 after structural relaxation, computed with PBE.

Cell and atoms, written as POSCAR:
```
Ce6PbO12
1.0
-1.219 -0.377 -6.697
6.220 -2.777 0.275
-3.776 -5.219 2.232
Ce O Pb
6 12 1
direct
0.403 0.703 0.862
0.297 0.138 0.597
0.703 0.862 0.403
0.597 0.297 0.138
0.138 0.597 0.297
0.862 0.403 0.703
0.575 0.180 0.434
0.092 0.661 0.932
0.820 0.566 0.425
0.180 0.434 0.575
0.425 0.820 0.566
0.434 0.575 0.180
0.339 0.068 0.908
0.661 0.932 0.092
0.932 0.092 0.661
0.908 0.339 0.068
0.566 0.425 0.820
0.068 0.908 0.339
0.000 0.000 0.000
```

Results
SG: No. 148
Formation energy without anion corrections: -3174 meV per atom
Energy: -159.12 eV per cell


No. 4
VZnRe2 after structural relaxation, computed with PBE.

Cell and atoms, written as POSCAR:
```
VZnRe2
1.0
-2.547 -0.673 0.685
-1.445 -1.665 -1.598
1.922 -8.204 4.491
Zn Re V
1 2 1
direct
0.500 0.500 0.500
0.914 0.914 0.259
0.086 0.086 0.741
0.000 0.000 0.000
```

Results
SG: No. 166
Energy: -33.33 eV per cell
Formation enthalpy at 0 K: 489 meV per atom


No. 5
BaSmSi2O6 after structural relaxation, computed with PBE.

Cell and atoms, written as POSCAR:
```
BaSmSi2O6
1.0
7.110 0.443 0.416
-0.430 7.110 0.416
-1.465 -1.657 5.759
O Si Sm Ba
12 4 2 2
direct
0.922 0.366 0.208
0.078 0.634 0.792
0.187 0.151 0.028
0.302 0.466 0.365
0.849 0.813 0.472
0.813 0.849 0.972
0.698 0.534 0.635
0.534 0.698 0.135
0.151 0.187 0.528
0.634 0.078 0.292
0.466 0.302 0.865
0.366 0.922 0.708
0.863 0.713 0.718
0.287 0.137 0.782
0.713 0.863 0.218
0.137 0.287 0.282
0.390 0.610 0.750
0.610 0.390 0.250
0.818 0.182 0.750
0.182 0.818 0.250
```

Results
SG: No. 15
Formation energy without anion corrections: -2759 meV per atom
Energy: -149.65 eV per cell


No. 6
PaIr2S6 after structural relaxation, computed with PBE.

Cell and atoms, written as POSCAR:
```
PaIr2S6
1.0
5.509 0.000 3.078
1.894 5.173 3.078
-0.320 -0.223 7.040
S Pa Ir
6 1 2
direct
0.790 0.069 0.712
0.210 0.931 0.288
0.069 0.429 0.712
0.571 0.210 0.288
0.931 0.571 0.288
0.429 0.790 0.712
0.000 0.000 0.000
0.832 0.832 0.503
0.168 0.168 0.497
```

Results
SG: No. 148
Formation energy without anion corrections: -678 meV per atom
Energy: -58.09 eV per cell


| no. | M_tot (μB/f.u.) | V (Å³ per cell) |
| --- | --- | --- |
| 1 | 0.000 | 46.5 |
| 2 | 0.000 | 361.6 |
| 3 | 2.346 | 299.0 |
| 4 | 0.000 | 60.4 |
| 5 | 0.000 | 301.5 |
| 6 | 0.000 | 208.2 |